[1]
# SmCd2Sn

Crystalline SmCd2Sn at its relaxed geometry (PBE, Alexandria).

space group	No. 123
total moment	0.0	μB per formula unit
D(E_F)	0.16	states/eV per atom
offset from the most stable computed form	0.00	eV per formula unit

Geometry as CIF:
```
data_SmCd2Sn
_chemical_formula_sum 'Sm1 Cd2 Sn1'
_cell_length_a 4.8645
_cell_length_b 4.5277
_cell_length_c 4.5277
_cell_angle_alpha 90.00
_cell_angle_beta 90.00
_cell_angle_gamma 90.00
_symmetry_space_group_name_H-M 'P 1'
_symmetry_Int_Tables_number 1
loop_
_symmetry_equiv_pos_as_xyz
'x,y,z'
loop_
_atom_site_label
_atom_site_fract_x
_atom_site_fract_y
_atom_site_fract_z
_atom_site_occupancy
Sm1 0.5000 0.5000 0.5000 1
Cd1 0.0000 0.5000 0.0000 1
Cd2 0.0000 0.0000 0.5000 1
Sn1 0.5000 0.0000 0.0000 1
```

---

[2]
# Sm2Cd16Sn

Crystalline Sm2Cd16Sn at its relaxed geometry (PBE, Alexandria).

space group	No. 160
total moment	0.0	μB per formula unit
D(E_F)	0.39	states/eV per atom
total DFT energy (no corrections)	-1.6101	eV/atom

Geometry as CIF:
```
data_Sm2Cd16Sn
_chemical_formula_sum 'Sm2 Cd16 Sn1'
_cell_length_a 7.6840
_cell_length_b 7.6840
_cell_length_c 7.6840
_cell_angle_alpha 83.63
_cell_angle_beta 83.63
_cell_angle_gamma 83.63
_symmetry_space_group_name_H-M 'P 1'
_symmetry_Int_Tables_number 1
loop_
_symmetry_equiv_pos_as_xyz
'x,y,z'
loop_
_atom_site_label
_atom_site_fract_x
_atom_site_fract_y
_atom_site_fract_z
_atom_site_occupancy
Sm1 0.6729 0.6729 0.6729 1
Sm2 0.3334 0.3334 0.3334 1
Cd1 0.9974 0.6884 0.3154 1
Cd2 0.1425 0.6566 0.6566 1
Cd3 0.7978 0.3659 0.3659 1
Cd4 0.0225 0.0225 0.4720 1
Cd5 0.6566 0.6566 0.1425 1
Cd6 0.3154 0.9974 0.6884 1
Cd7 0.0225 0.4720 0.0225 1
Cd8 0.3154 0.6884 0.9974 1
Cd9 0.9974 0.3154 0.6884 1
Cd10 0.0937 0.0937 0.0937 1
Cd11 0.6884 0.3154 0.9974 1
Cd12 0.3659 0.7978 0.3659 1
Cd13 0.3659 0.3659 0.7978 1
Cd14 0.6566 0.1425 0.6566 1
Cd15 0.4720 0.0225 0.0225 1
Cd16 0.6884 0.9974 0.3154 1
Sn1 0.8955 0.8955 0.8955 1
```

---

[3]
# SrSmCdSn

Crystalline SrSmCdSn at its relaxed geometry (PBE, Alexandria).

space group	No. 216
total moment	0.0	μB per formula unit
D(E_F)	0.94	states/eV per atom
total DFT energy (no corrections)	-3.2915	eV/atom

Geometry as CIF:
```
data_SrSmCdSn
_chemical_formula_sum 'Sr1 Sm1 Cd1 Sn1'
_cell_length_a 5.5395
_cell_length_b 5.5395
_cell_length_c 5.5395
_cell_angle_alpha 60.00
_cell_angle_beta 60.00
_cell_angle_gamma 60.00
_symmetry_space_group_name_H-M 'P 1'
_symmetry_Int_Tables_number 1
loop_
_symmetry_equiv_pos_as_xyz
'x,y,z'
loop_
_atom_site_label
_atom_site_fract_x
_atom_site_fract_y
_atom_site_fract_z
_atom_site_occupancy
Sr1 0.0000 0.0000 0.0000 1
Sn1 0.2500 0.2500 0.2500 1
Cd1 0.7500 0.7500 0.7500 1
Sm1 0.5000 0.5000 0.5000 1
```

---

[4]
# TbSmCdSn

Crystalline TbSmCdSn at its relaxed geometry (PBE, Alexandria).

space group	No. 216
total moment	0.0	μB per formula unit
D(E_F)	0.67	states/eV per atom
total DFT energy (no corrections)	-4.0842	eV/atom

Geometry as CIF:
```
data_TbSmCdSn
_chemical_formula_sum 'Tb1 Sm1 Cd1 Sn1'
_cell_length_a 5.3426
_cell_length_b 5.3426
_cell_length_c 5.3426
_cell_angle_alpha 60.00
_cell_angle_beta 60.00
_cell_angle_gamma 60.00
_symmetry_space_group_name_H-M 'P 1'
_symmetry_Int_Tables_number 1
loop_
_symmetry_equiv_pos_as_xyz
'x,y,z'
loop_
_atom_site_label
_atom_site_fract_x
_atom_site_fract_y
_atom_site_fract_z
_atom_site_occupancy
Sm1 0.0000 0.0000 0.0000 1
Cd1 0.7500 0.7500 0.7500 1
Tb1 0.5000 0.5000 0.5000 1
Sn1 0.2500 0.2500 0.2500 1
```